No. 1
An optimized crystal structure of TiBeAlMo2. Source: the Alexandria database, functional PBE-GGA.

Unit cell a=4.5012 b=4.7715 c=4.5012 alpha=90.00 beta=90.00 gamma=90.00
Fractional coordinates of all 5 atoms:
Al1 0.0000 0.5000 0.0000
Mo1 0.5000 0.0000 0.0000
Ti1 0.0000 0.0000 0.0000
Be1 0.5000 0.5000 0.5000
Mo2 0.0000 0.0000 0.5000

Properties
- Size of the total moment: 0.00 μB per formula unit
- Calculated formation energy: 762.4 kJ/mol of formula units

No. 2
An optimized crystal structure of SrPaSb2Pt2. Source: the Alexandria database, functional PBE-GGA.

Unit cell a=4.4826 b=4.4826 c=8.7498 alpha=90.00 beta=90.00 gamma=120.00
Fractional coordinates of all 6 atoms:
Sr1 0.0000 0.0000 0.0000
Pt1 0.3333 0.6667 0.3185
Sb1 0.3333 0.6667 0.7539
Sb2 0.6667 0.3333 0.2461
Pt2 0.6667 0.3333 0.6815
Pa1 0.0000 0.0000 0.5000

Properties
- Size of the total moment: 0.00 μB per formula unit
- ΔE_f (raw): -944.0 meV/atom

no.,energy (Ha/atom)
1,-0.214
2,-0.228